Material: NdThAu
Method: DFT, GGA-PBE
State: optimized geometry

Output
- Total magnetic moment: 0.0 μB/cell
- Distance to the lowest polymorph of the same formula: 10 meV per atom

The structure in CIF format:
```
data_NdThAu
_chemical_formula_sum 'Nd2 Th2 Au2'
_cell_length_a 4.6836
_cell_length_b 4.6836
_cell_length_c 8.0293
_cell_angle_alpha 90.00
_cell_angle_beta 90.00
_cell_angle_gamma 90.00
_symmetry_space_group_name_H-M 'P 4/n m m'
_symmetry_Int_Tables_number 129
loop_
_symmetry_equiv_pos_as_xyz
'x,y,z'
'-x,-y,-z'
'-y+1/2,x,z'
'y+1/2,-x,-z'
'-x+1/2,-y+1/2,z'
'x+1/2,y+1/2,-z'
'y,-x+1/2,z'
'-y,x+1/2,-z'
'x+1/2,-y,-z'
'-x+1/2,y,z'
'-y,-x,-z'
'y,x,z'
'-x,y+1/2,-z'
'x,-y+1/2,z'
'y+1/2,x+1/2,-z'
'-y+1/2,-x+1/2,z'
loop_
_atom_site_label
_atom_site_type_symbol
_atom_site_fract_x
_atom_site_fract_y
_atom_site_fract_z
Nd1 Nd 0.2500 0.2500 0.1323
Th1 Th 0.2500 0.7500 0.5000
Au1 Au 0.2500 0.2500 0.7685
```